{
  "formula": "Zr7Zn2Pd2",
  "functional": "PBE",
  "state": "relaxed",
  "density_g_cm3": 6.71,
  "sg": "Cmmm, No. 65",
  "delta_e_f_ev_per_atom": 0.06,
  "total_energy_ev_per_fu": -72.080,
  "lattice": [[3.5385, -4.8935, 0.0000], [3.5385, 4.8935, 0.0000], [0.0000, 0.0000, 7.0179]],
  "species": ["Zr", "Zr", "Zr", "Zr", "Zr", "Zr", "Zr", "Zn", "Zn", "Pd", "Pd"],
  "frac_coords": [[0.0000, 0.0000, 0.0000], [0.0000, 0.5000, 0.2845], [0.0000, 0.5000, 0.7155], [0.5000, 0.0000, 0.2845], [0.5000, 0.0000, 0.7155], [0.5000, 0.5000, 0.2760], [0.5000, 0.5000, 0.7240], [0.1676, 0.1676, 0.5000], [0.8324, 0.8324, 0.5000], [0.2834, 0.7166, 0.0000], [0.7166, 0.2834, 0.0000]]
}